(1)
Entry from Alexandria via LeMat-Bulk: AcFeSi3 after structural relaxation (PBE).

Lattice parameters (Å, degrees): 4.594 4.594 4.636 90.00 90.00 90.00
Space group P4/mmm (No. 123)
Unique sites:
Ac: 0.000 0.000 0.000 [1 per cell]
Fe: 0.500 0.500 0.500 [1 per cell]
Si: 0.000 0.500 0.500 [2 per cell]
Si: 0.500 0.500 0.000 [1 per cell]

Values from the calculation:
magnetic moment	2.74	μB/f.u.
uncorrected formation energy	-0.5	eV per formula unit
distance to the lowest polymorph of the same formula	375	meV per atom

=====

(2)
Entry from Alexandria via LeMat-Bulk: AcFe9Si4 after structural relaxation (PBE).

Lattice parameters (Å, degrees): 7.945 7.945 11.633 90.00 90.00 90.00
Space group I4/mcm (No. 140)
Unique sites:
Ac: 0.000 0.000 0.250 [4 per cell]
Fe: 0.000 0.500 0.000 [4 per cell]
Fe: 0.064 0.203 0.000 [16 per cell]
Fe: 0.118 0.382 0.180 [16 per cell]
Si: 0.176 0.324 0.382 [16 per cell]

Values from the calculation:
magnetic moment	14.20	μB/f.u.
uncorrected formation energy	-4.9	eV per formula unit